[1]
# GGA-PBE Mg2TiNbAu, relaxed
# N(E_F), states/eV per cell: 4.5
# Space-group type: P4/mmm
# Formation enthalpy at 0 K, meV/atom: 954
data_Mg2TiNbAu
_cell_length_a 5.1443
_cell_length_b 4.4286
_cell_length_c 5.1443
_cell_angle_alpha 90.00
_cell_angle_beta 90.00
_cell_angle_gamma 90.00
_symmetry_space_group_name_H-M 'P 1'
_symmetry_Int_Tables_number 1
loop_
_symmetry_equiv_pos_as_xyz
'x,y,z'
loop_
_atom_site_label
_atom_site_type_symbol
_atom_site_fract_x
_atom_site_fract_y
_atom_site_fract_z
Nb1 Nb 0.0000 0.5000 0.0000
Mg1 Mg 0.0000 0.0000 0.5000
Mg2 Mg 0.5000 0.0000 0.0000
Au1 Au 0.5000 0.5000 0.5000
Ti1 Ti 0.0000 0.0000 0.0000


[2]
# GGA-PBE MgNb2WAu, relaxed
# N(E_F), states/eV per cell: 7.3
# Space-group type: P4/mmm
# Formation enthalpy at 0 K, meV/atom: 1252
data_MgNb2WAu
_cell_length_a 4.8017
_cell_length_b 5.1214
_cell_length_c 4.8017
_cell_angle_alpha 90.00
_cell_angle_beta 90.00
_cell_angle_gamma 90.00
_symmetry_space_group_name_H-M 'P 1'
_symmetry_Int_Tables_number 1
loop_
_symmetry_equiv_pos_as_xyz
'x,y,z'
loop_
_atom_site_label
_atom_site_type_symbol
_atom_site_fract_x
_atom_site_fract_y
_atom_site_fract_z
Mg1 Mg 0.0000 0.5000 0.0000
Nb1 Nb 0.0000 0.0000 0.5000
Nb2 Nb 0.5000 0.0000 0.0000
W1 W 0.0000 0.0000 0.0000
Au1 Au 0.5000 0.5000 0.5000